{"formula": "CaLaPrMnO6", "functional": "PBE+U", "state": "optimized geometry", "magmom_total_mub_per_cell": 3.02, "spacegroup": "F-43m (216)", "total_energy_ev_per_atom": -7.454, "vol_a3_per_atom": 13.1, "cell": [[-2.1360, 3.1268, 4.2604], [-2.7660, 4.8529, -1.1354], [-5.6409, 0.3096, 0.7577]], "species": ["Ca", "La", "Pr", "Mn", "O", "O", "O", "O", "O", "O"], "fractional_positions": [[0.0000, 0.0000, 0.0000], [0.2500, 0.2500, 0.2500], [0.7500, 0.7500, 0.7500], [0.5000, 0.5000, 0.5000], [0.2667, 0.7333, 0.2667], [0.7333, 0.2667, 0.7333], [0.2667, 0.7333, 0.7333], [0.7333, 0.2667, 0.2667], [0.2667, 0.2667, 0.7333], [0.7333, 0.7333, 0.2667]]}